Here is crystalline BeP2N4 at its relaxed geometry from Alexandria via LeMat-Bulk. Energies are from PBE-GGA.

Results
formation energy (no corrections) = -698 meV/atom
total moment = 0.00 Bohr magnetons per cell

abc: 7.8877 7.8877 7.8877
angles: 108.15 108.15 108.15
Atoms (fractional coordinates):
Be 0.0382 0.2679 0.4434
Be 0.2679 0.4434 0.0382
Be 0.4434 0.0382 0.2679
Be 0.5566 0.9618 0.7321
Be 0.7321 0.5566 0.9618
Be 0.9618 0.7321 0.5566
P 0.0695 0.8866 0.2923
P 0.1134 0.7077 0.9305
P 0.2229 0.6300 0.3986
P 0.2923 0.0695 0.8866
P 0.3700 0.6014 0.7771
P 0.3986 0.2229 0.6300
P 0.6014 0.7771 0.3700
P 0.6300 0.3986 0.2229
P 0.7077 0.9305 0.1134
P 0.7771 0.3700 0.6014
P 0.8866 0.2923 0.0695
P 0.9305 0.1134 0.7077
N 0.0876 0.7516 0.4131
N 0.1249 0.4525 0.1680
N 0.1363 0.8357 0.8029
N 0.1643 0.1971 0.8637
N 0.1680 0.1249 0.4525
N 0.1971 0.8637 0.1643
N 0.2128 0.5193 0.5431
N 0.2484 0.5869 0.9124
N 0.4131 0.0876 0.7516
N 0.4525 0.1680 0.1249
N 0.4569 0.7872 0.4807
N 0.4807 0.4569 0.7872
N 0.5193 0.5431 0.2128
N 0.5431 0.2128 0.5193
N 0.5475 0.8320 0.8751
N 0.5869 0.9124 0.2484
N 0.7516 0.4131 0.0876
N 0.7872 0.4807 0.4569
N 0.8029 0.1363 0.8357
N 0.8320 0.8751 0.5475
N 0.8357 0.8029 0.1363
N 0.8637 0.1643 0.1971
N 0.8751 0.5475 0.8320
N 0.9124 0.2484 0.5869